A relaxed structure of Tl2CuP, computed with PBE-GGA.

abc: 4.7765 4.7765 3.8096
angles: 90.00 90.00 90.00
Last column: nearest neighbours and their distance in Å.
Space group P4/mmm (No. 123)
Asymmetric unit:
1 Tl 0.0000 0.5000 0.0000  4 Cu 3.05, 4 P 3.05, 4 Tl 3.38
2 Cu 0.0000 0.0000 0.5000  8 Tl 3.05, 4 P 3.38
3 P 0.5000 0.5000 0.5000  8 Tl 3.05, 4 Cu 3.38

Values from the calculation:
* M_tot: 0.00 μB/f.u.
* energy relative to the lowest polymorph listed for this composition: 0.510 eV/atom

A relaxed structure of Mn2GaMoN, computed with PBE-GGA.

abc: 3.8085 3.8085 4.1538
angles: 90.00 90.00 90.00
Last column: nearest neighbours and their distance in Å.
Space group P4/mmm (No. 123)
Asymmetric unit:
1 Mn 0.0000 0.5000 0.0000  2 N 1.90
2 Ga 0.0000 0.0000 0.5000  4 Mo 2.69, 8 Mn 2.82
3 Mo 0.5000 0.5000 0.5000  2 N 2.08
4 N 0.5000 0.5000 0.0000  4 Mn 1.90, 2 Mo 2.08

Values from the calculation:
* E_form (uncorrected): -1.22 eV per formula unit
* M_tot: 3.21 μB/f.u.

A relaxed structure of SrOs2Pt, computed with PBE-GGA.

abc: 4.2987 4.2987 7.7229
angles: 90.00 90.00 90.00
Last column: nearest neighbours and their distance in Å.
Space group I-4m2 (No. 119)
Asymmetric unit:
1 Sr 0.0000 0.0000 0.0000  8 Os 2.89-3.04, 4 Pt 2.89
2 Os 0.0000 0.0000 0.5000  4 Pt 2.89, 4 Os 2.89, 4 Sr 3.04
3 Os 0.0000 0.5000 0.7500  4 Sr 2.89, 4 Os 2.89, 4 Pt 3.04
4 Pt 0.0000 0.5000 0.2500  8 Os 2.89-3.04, 4 Sr 2.89

Values from the calculation:
* M_tot: 0.00 μB/f.u.
* energy relative to the lowest polymorph listed for this composition: 0.553 eV/atom

Ρ (computed, Mg/m³): 9.62, 7.98, 15.43
D(E_F) (computed, states/eV/cell): 1.2, 3.8, 8.8